(1)
12
Lattice="3.8521 0.0000 0.0000 -1.9261 3.3360 0.0000 0.0000 0.0000 21.9800" Properties=species:S:1:pos:R:3 comment="PBE-GGA RhSe2Cl, relaxed" dos_at_fermi_per_ev_cell=3.49 e_form_raw_ev_per_atom=-0.3403 total_magnetization_mub_per_cell=0.00 pbc="T T T"
Rh 0.0000 0.0000 0.0000
Rh 0.0000 2.2240 14.6533
Rh 1.9261 1.1120 7.3267
Se 0.0000 0.0000 8.4963
Se 0.0000 0.0000 13.4837
Se 0.0000 2.2240 1.1696
Se 0.0000 2.2240 6.1570
Se 1.9261 1.1120 15.8230
Se 1.9261 1.1120 20.8104
Cl 0.0000 0.0000 10.9900
Cl 0.0000 2.2240 3.6633
Cl 1.9261 1.1120 18.3167



(2)
10
Lattice="3.9812 0.0000 0.0000 0.0000 21.0622 0.0000 0.0000 0.0000 3.8589" Properties=species:S:1:pos:R:3 comment="PBE-GGA AcSm2Cd2, relaxed" dos_at_fermi_per_ev_cell=12.16 e_form_ev_per_atom=-0.120 total_magnetization_mub_per_cell=0.00 pbc="T T T"
Ac 0.0000 0.0000 0.0000
Ac 1.9906 10.5311 0.0000
Sm 0.0000 3.8432 0.0000
Sm 0.0000 17.2190 0.0000
Sm 1.9906 6.6879 0.0000
Sm 1.9906 14.3743 0.0000
Cd 0.0000 8.3486 1.9295
Cd 0.0000 12.7136 1.9295
Cd 1.9906 2.1825 1.9295
Cd 1.9906 18.8797 1.9295



(3)
5
Lattice="4.9830 0.0000 0.0000 0.0000 4.9830 0.0000 0.0000 0.0000 4.9830" Properties=species:S:1:pos:R:3 comment="PBE-GGA KLi3Pt, relaxed" dos_at_fermi_per_ev_cell=1.64 e_form_ev_per_atom=-0.173 total_magnetization_mub_per_cell=0.00 pbc="T T T"
K 0.0000 0.0000 0.0000
Li 0.0000 2.4915 2.4915
Li 2.4915 0.0000 2.4915
Li 2.4915 2.4915 0.0000
Pt 2.4915 2.4915 2.4915



(4)
5
Lattice="4.6550 0.0000 0.0000 0.0000 4.6550 0.0000 0.0000 0.0000 4.6550" Properties=species:S:1:pos:R:3 comment="PBE-GGA CaPW3, relaxed" dos_at_fermi_per_ev_cell=6.81 e_form_ev_per_atom=3.443 total_magnetization_mub_per_cell=0.00 pbc="T T T"
Ca 0.0000 0.0000 0.0000
P 2.3275 2.3275 2.3275
W 0.0000 0.0000 2.3275
W 0.0000 2.3275 0.0000
W 2.3275 0.0000 0.0000



(5)
12
Lattice="6.5198 0.0000 0.0000 -3.2599 5.6463 0.0000 0.0000 0.0000 8.2698" Properties=species:S:1:pos:R:3 comment="PBE-GGA RbAcI2O8, relaxed" dos_at_fermi_per_ev_cell=4.17 e_form_raw_ev_per_atom=-1.0548 total_magnetization_mub_per_cell=1.77 pbc="T T T"
Rb 0.0000 0.0000 0.0000
Ac 0.0000 0.0000 4.1349
I 0.0000 3.7642 2.1352
I 3.2599 1.8821 6.1347
O 0.0000 1.8938 2.5294
O -1.6198 4.6994 2.5294
O 0.0000 3.7642 0.3447
O 1.6401 0.9469 5.7404
O 1.6198 4.6994 2.5294
O 3.2599 1.8821 7.9251
O 4.8797 0.9469 5.7404
O 3.2599 3.7525 5.7404



(6)
16
Lattice="6.4880 0.0000 0.0000 0.0000 6.4880 0.0000 0.0000 0.0000 6.4880" Properties=species:S:1:pos:R:3 comment="PBE-GGA CaGe2Os, relaxed" dos_at_fermi_per_ev_cell=6.26 e_form_ev_per_atom=-0.060 total_magnetization_mub_per_cell=0.00 pbc="T T T"
Ca 0.0000 0.0000 0.0000
Ca 0.0000 3.2440 3.2440
Ca 3.2440 0.0000 3.2440
Ca 3.2440 3.2440 0.0000
Ge 1.6220 1.6220 1.6220
Ge 1.6220 1.6220 4.8660
Ge 1.6220 4.8660 1.6220
Ge 1.6220 4.8660 4.8660
Ge 4.8660 1.6220 1.6220
Ge 4.8660 1.6220 4.8660
Ge 4.8660 4.8660 1.6220
Ge 4.8660 4.8660 4.8660
Os 0.0000 0.0000 3.2440
Os 0.0000 3.2440 0.0000
Os 3.2440 0.0000 0.0000
Os 3.2440 3.2440 3.2440



(7)
5
Lattice="5.2512 0.0000 0.0000 0.0000 5.2512 0.0000 0.0000 0.0000 3.9689" Properties=species:S:1:pos:R:3 comment="PBE-GGA InIrSe2N, relaxed" dos_at_fermi_per_ev_cell=4.94 e_form_raw_ev_per_atom=1.6037 total_magnetization_mub_per_cell=2.20 pbc="T T T"
In 0.0000 0.0000 0.0000
Ir 2.6256 2.6256 1.9844
Se 0.0000 2.6256 0.0000
Se 2.6256 0.0000 0.0000
N 0.0000 0.0000 1.9844